Record 1
K3Tl3PbBr8: relaxed, PBE.

Properties
- Formation energy without anion corrections: -1237 meV/atom
- Symmetry: R-3m, No. 166

a = 9.5105 Å, b = 9.5105 Å, c = 9.5105 Å
α = 59.76°, β = 59.76°, γ = 59.76°
With the nearest neighbours (Å) after each atom.
Element x y z (fractional)
K  0.0000  0.5000  0.5000  6 Br 3.33-3.34
K  0.5000  0.0000  0.5000  6 Br 3.33-3.34
K  0.5000  0.5000  0.0000  6 Br 3.33-3.34
Tl  0.0000  0.0000  0.5000  6 Br 3.39-3.40
Tl  0.0000  0.5000  0.0000  6 Br 3.39-3.40
Tl  0.5000  0.0000  0.0000  6 Br 3.39-3.40
Pb  0.0000  0.0000  0.0000  6 Br 3.06
Br  0.2282  0.2282  0.7677  1 Pb 3.06, 2 K 3.34, 2 Tl 3.40
Br  0.2282  0.7677  0.2282  1 Pb 3.06, 2 K 3.34, 2 Tl 3.40
Br  0.2323  0.7718  0.7718  1 Pb 3.06, 2 K 3.34, 2 Tl 3.40
Br  0.2522  0.2522  0.2522  3 K 3.33, 3 Tl 3.39
Br  0.7478  0.7478  0.7478  3 K 3.33, 3 Tl 3.39
Br  0.7677  0.2282  0.2282  1 Pb 3.06, 2 K 3.34, 2 Tl 3.40
Br  0.7718  0.2323  0.7718  1 Pb 3.06, 2 K 3.34, 2 Tl 3.40
Br  0.7718  0.7718  0.2323  1 Pb 3.06, 2 K 3.34, 2 Tl 3.40

---

Record 2
KTlPbBr6: relaxed, PBE.

Properties
- Formation energy without anion corrections: -906 meV/atom
- Symmetry: P-31c, No. 163

a = 7.6219 Å, b = 7.6219 Å, c = 14.1649 Å
α = 90.00°, β = 90.00°, γ = 120.00°
With the nearest neighbours (Å) after each atom.
Element x y z (fractional)
K  0.0000  0.0000  0.0000  6 Br 3.38
K  0.0000  0.0000  0.5000  6 Br 3.38
Tl  0.3333  0.6667  0.2500  6 Br 2.81
Tl  0.6667  0.3333  0.7500  6 Br 2.81
Pb  0.3333  0.6667  0.7500  6 Br 3.06
Pb  0.6667  0.3333  0.2500  6 Br 3.06
Br  0.0252  0.3792  0.1335  1 Tl 2.81, 1 Pb 3.06
Br  0.0252  0.6460  0.3665  1 Tl 2.81, 1 Pb 3.06
Br  0.3540  0.3792  0.3665  1 Tl 2.81, 1 Pb 3.06
Br  0.3540  0.9748  0.1335  1 Tl 2.81, 1 Pb 3.06
Br  0.3792  0.0252  0.6335  1 Tl 2.81, 1 Pb 3.06
Br  0.3792  0.3540  0.8665  1 Tl 2.81, 1 Pb 3.06
Br  0.6208  0.6460  0.1335  1 Tl 2.81, 1 Pb 3.06
Br  0.6208  0.9748  0.3665  1 Tl 2.81, 1 Pb 3.06
Br  0.6460  0.0252  0.8665  1 Tl 2.81, 1 Pb 3.06
Br  0.6460  0.6208  0.6335  1 Tl 2.81, 1 Pb 3.06
Br  0.9748  0.3540  0.6335  1 Tl 2.81, 1 Pb 3.06
Br  0.9748  0.6208  0.8665  1 Tl 2.81, 1 Pb 3.06

---

Record 3
K2TlPbBr5: relaxed, PBE.

Properties
- Formation energy without anion corrections: -1256 meV/atom
- Symmetry: Cmc2_1, No. 36

a = 9.8800 Å, b = 9.8800 Å, c = 16.8256 Å
α = 90.00°, β = 90.00°, γ = 153.34°
With the nearest neighbours (Å) after each atom.
Element x y z (fractional)
K  0.0571  0.9429  0.5000  6 Br 3.29-3.44
K  0.1478  0.8522  0.1003  6 Br 3.30-3.57
K  0.8522  0.1478  0.6003  6 Br 3.30-3.57
K  0.9429  0.0571  0.0000  6 Br 3.29-3.44
Tl  0.4421  0.5579  0.2792  5 Br 3.19-3.54
Tl  0.5579  0.4421  0.7792  5 Br 3.19-3.54
Pb  0.2563  0.7437  0.8753  6 Br 2.95-3.16
Pb  0.7437  0.2563  0.3753  6 Br 2.95-3.16
Br  0.0985  0.9015  0.9063  1 Pb 3.08, 2 Tl 3.22, 2 K 3.38-3.40
Br  0.2360  0.7640  0.5052  2 Pb 3.16, 1 K 3.44
Br  0.2594  0.7406  0.2538  2 Pb 3.08, 1 K 3.36
Br  0.4094  0.5906  0.8643  1 Pb 2.95, 1 Tl 3.19, 2 K 3.29
Br  0.4760  0.5240  0.6083  1 Tl 3.28, 4 K 3.30-3.31
Br  0.5240  0.4760  0.1083  1 Tl 3.28, 4 K 3.30-3.31
Br  0.5906  0.4094  0.3643  1 Pb 2.95, 1 Tl 3.19, 2 K 3.29
Br  0.7406  0.2594  0.7538  2 Pb 3.08, 1 K 3.36
Br  0.7640  0.2360  0.0052  2 Pb 3.16, 1 K 3.44
Br  0.9015  0.0985  0.4063  1 Pb 3.08, 2 Tl 3.22, 2 K 3.38-3.40

---

Record 4
KTl2PbBr5: relaxed, PBE.

Properties
- Formation energy without anion corrections: -1060 meV/atom
- Symmetry: Cmc2_1, No. 36

a = 9.9183 Å, b = 9.9183 Å, c = 16.7059 Å
α = 90.00°, β = 90.00°, γ = 153.45°
With the nearest neighbours (Å) after each atom.
Element x y z (fractional)
K  0.0563  0.9437  0.5000  5 Br 3.20-3.33
K  0.9437  0.0563  0.0000  5 Br 3.20-3.33
Tl  0.3578  0.6422  0.3210  6 Br 3.27-3.59
Tl  0.4371  0.5629  0.7151  6 Br 3.29-3.49
Tl  0.5629  0.4371  0.2151  6 Br 3.29-3.49
Tl  0.6422  0.3578  0.8210  6 Br 3.27-3.59
Pb  0.2518  0.7482  0.0953  6 Br 2.99-3.13
Pb  0.7482  0.2518  0.5953  6 Br 2.99-3.13
Br  0.0212  0.9788  0.8306  1 K 3.20, 4 Tl 3.27-3.40
Br  0.0975  0.9025  0.0791  1 Pb 2.99, 1 K 3.25, 2 Tl 3.29
Br  0.2270  0.7730  0.4734  2 Pb 3.08, 1 K 3.33
Br  0.2566  0.7434  0.7236  2 Pb 3.13, 1 Tl 3.49
Br  0.4084  0.5916  0.1292  1 Pb 3.08, 2 K 3.21, 2 Tl 3.31-3.35
Br  0.5916  0.4084  0.6292  1 Pb 3.08, 2 K 3.21, 2 Tl 3.31-3.35
Br  0.7434  0.2566  0.2236  2 Pb 3.13, 1 Tl 3.49
Br  0.7730  0.2270  0.9734  2 Pb 3.08, 1 K 3.33
Br  0.9025  0.0975  0.5791  1 Pb 2.99, 1 K 3.25, 2 Tl 3.29
Br  0.9788  0.0212  0.3306  1 K 3.20, 4 Tl 3.27-3.40

---

Record 5
KTmPb2Br8: relaxed, PBE.

Properties
- Formation energy without anion corrections: -1353 meV/atom
- Symmetry: P2/m, No. 10

a = 6.8280 Å, b = 9.1967 Å, c = 7.1995 Å
α = 90.00°, β = 90.98°, γ = 90.00°
With the nearest neighbours (Å) after each atom.
Element x y z (fractional)
K  0.0000  0.0000  0.0000  6 Br 3.23-3.25
Tm  0.0000  0.5000  0.0000  6 Br 2.77-2.82
Pb  0.5000  0.2512  0.5000  6 Br 2.97-3.21
Pb  0.5000  0.7488  0.5000  6 Br 2.97-3.21
Br  0.2343  0.5000  0.6820  1 Tm 2.82
Br  0.2365  0.2840  0.1519  1 Tm 2.77, 1 Pb 3.07
Br  0.2365  0.7160  0.1519  1 Tm 2.77, 1 Pb 3.07
Br  0.2689  0.0000  0.6347  2 Pb 2.97, 1 K 3.23
Br  0.7311  0.0000  0.3653  2 Pb 2.97, 1 K 3.23
Br  0.7635  0.2840  0.8481  1 Tm 2.77, 1 Pb 3.07
Br  0.7635  0.7160  0.8481  1 Tm 2.77, 1 Pb 3.07
Br  0.7657  0.5000  0.3180  1 Tm 2.82

---

Record 6
KUPb2Br8: relaxed, PBE.

Properties
- Formation energy without anion corrections: -1162 meV/atom
- Symmetry: P2/m, No. 10

a = 6.9416 Å, b = 9.2921 Å, c = 7.2968 Å
α = 90.00°, β = 90.64°, γ = 90.00°
With the nearest neighbours (Å) after each atom.
Element x y z (fractional)
K  0.0000  0.0000  0.0000  6 Br 3.26
U  0.0000  0.5000  0.0000  6 Br 2.91-2.94
Pb  0.5000  0.2460  0.5000  6 Br 2.97-3.22
Pb  0.5000  0.7540  0.5000  6 Br 2.97-3.22
Br  0.2419  0.2751  0.1565  1 U 2.91, 1 Pb 3.08
Br  0.2419  0.7249  0.1565  1 U 2.91, 1 Pb 3.08
Br  0.2441  0.5000  0.6734  1 U 2.94, 2 Pb 3.22
Br  0.2678  0.0000  0.6355  2 Pb 2.97, 1 K 3.26
Br  0.7322  0.0000  0.3645  2 Pb 2.97, 1 K 3.26
Br  0.7559  0.5000  0.3266  1 U 2.94, 2 Pb 3.22
Br  0.7581  0.2751  0.8435  1 U 2.91, 1 Pb 3.08
Br  0.7581  0.7249  0.8435  1 U 2.91, 1 Pb 3.08

---

> Look up the formation energy without anion corrections of the fourth one.

-1060 meV/atom

---

Please write out number 2 again, unchanged.
KTlPbBr6: relaxed, PBE.

Properties
- Formation energy without anion corrections: -906 meV/atom
- Symmetry: P-31c, No. 163

a = 7.6219 Å, b = 7.6219 Å, c = 14.1649 Å
α = 90.00°, β = 90.00°, γ = 120.00°
With the nearest neighbours (Å) after each atom.
Element x y z (fractional)
K  0.0000  0.0000  0.0000  6 Br 3.38
K  0.0000  0.0000  0.5000  6 Br 3.38
Tl  0.3333  0.6667  0.2500  6 Br 2.81
Tl  0.6667  0.3333  0.7500  6 Br 2.81
Pb  0.3333  0.6667  0.7500  6 Br 3.06
Pb  0.6667  0.3333  0.2500  6 Br 3.06
Br  0.0252  0.3792  0.1335  1 Tl 2.81, 1 Pb 3.06
Br  0.0252  0.6460  0.3665  1 Tl 2.81, 1 Pb 3.06
Br  0.3540  0.3792  0.3665  1 Tl 2.81, 1 Pb 3.06
Br  0.3540  0.9748  0.1335  1 Tl 2.81, 1 Pb 3.06
Br  0.3792  0.0252  0.6335  1 Tl 2.81, 1 Pb 3.06
Br  0.3792  0.3540  0.8665  1 Tl 2.81, 1 Pb 3.06
Br  0.6208  0.6460  0.1335  1 Tl 2.81, 1 Pb 3.06
Br  0.6208  0.9748  0.3665  1 Tl 2.81, 1 Pb 3.06
Br  0.6460  0.0252  0.8665  1 Tl 2.81, 1 Pb 3.06
Br  0.6460  0.6208  0.6335  1 Tl 2.81, 1 Pb 3.06
Br  0.9748  0.3540  0.6335  1 Tl 2.81, 1 Pb 3.06
Br  0.9748  0.6208  0.8665  1 Tl 2.81, 1 Pb 3.06

---

> The highest formation energy without anion corrections belongs to which entry?

KTlPbBr6

---

> Which value of formation energy without anion corrections does entry 2 give?

-906 meV/atom